A relaxed structure of Na2CeMnCl8. Source: Alexandria via LeMat-Bulk, functional PBE.

For the total energy, the calculation gives -4.378 eV per atom. The calculation puts the formation energy from raw total energies at -1.669 eV per atom. Its symmetry is No. 10.

POSCAR file:
```
Na2CeMnCl8
1.0
6.315 0.000 0.000
0.000 8.063 0.000
-0.491 0.000 6.489
Na Ce Mn Cl
2 1 1 8
Direct
0.000 0.233 0.000
0.000 0.767 0.000
0.500 0.500 0.500
0.500 0.000 0.500
0.231 0.500 0.170
0.256 0.000 0.209
0.290 0.243 0.657
0.290 0.757 0.657
0.710 0.243 0.343
0.710 0.757 0.343
0.744 0.000 0.791
0.769 0.500 0.830
```

***

A relaxed structure of Er4CoRh3. Source: Alexandria via LeMat-Bulk, functional PBE.

For the total energy, the calculation gives -6.673 eV per atom. The energy of formation from the pure elements comes out at -5.97 eV/f.u. Its symmetry is No. 47.

POSCAR file:
```
Er4CoRh3
1.0
3.355 0.000 0.000
0.000 4.789 0.000
0.000 0.000 9.566
Er Co Rh
4 1 3
Direct
0.000 0.000 0.000
0.000 0.000 0.500
0.000 0.500 0.245
0.000 0.500 0.755
0.500 0.500 0.000
0.500 0.000 0.250
0.500 0.000 0.750
0.500 0.500 0.500
```

***

A relaxed structure of Nd6GaHg2. Source: Alexandria via LeMat-Bulk, functional PBE.

For the total energy, the calculation gives -3.857 eV per atom. The energy of formation from the pure elements comes out at -2.47 eV/f.u. Its symmetry is No. 71.

POSCAR file:
```
Nd6GaHg2
1.0
-5.054 5.219 5.253
5.054 -5.219 5.253
5.054 5.219 -5.253
Nd Ga Hg
12 2 4
Direct
0.065 0.239 0.827
0.233 0.563 0.330
0.233 0.903 0.670
0.308 0.243 0.551
0.308 0.757 0.066
0.412 0.239 0.173
0.588 0.761 0.827
0.692 0.243 0.934
0.692 0.757 0.449
0.767 0.097 0.330
0.767 0.437 0.670
0.935 0.761 0.173
0.500 0.000 0.500
0.500 0.500 0.000
0.000 0.143 0.143
0.000 0.857 0.857
0.145 0.500 0.645
0.855 0.500 0.355
```

***

A relaxed structure of HgAuI2. Source: Alexandria via LeMat-Bulk, functional PBE.

For the total energy, the calculation gives -1.561 eV per atom. The calculation puts the formation energy from raw total energies at 0.109 eV per atom. Its symmetry is No. 166.

POSCAR file:
```
HgAuI2
1.0
2.106 1.216 10.228
-2.106 1.216 10.228
0.000 -2.432 10.228
Hg Au I
1 1 2
Direct
0.000 0.000 0.000
0.500 0.500 0.500
0.112 0.112 0.112
0.888 0.888 0.888
```